[1]
! Sr2UInPt6 | the Alexandria database | PBE | relaxed; values from VASP
&SYSTEM
  ibrav = 0, nat = 10, ntyp = 4
/
ATOMIC_SPECIES
Pt 195.08 Pt.upf
U 238.03 U.upf
Sr 87.62 Sr.upf
In 114.82 In.upf
ATOMIC_POSITIONS angstrom
Pt -4.0157 4.8052 -8.5278
Pt -3.1899 2.4458 -4.0516
U -0.7213 2.3556 -4.4950
Sr -3.8916 1.3512 -7.4353
Pt -0.4385 4.5829 -3.3731
Pt -1.0041 0.1284 -5.6168
In 0.0000 0.0000 0.0000
Sr -3.3141 5.8999 -5.1442
Pt -1.0744 3.5090 -6.6958
Pt -0.3681 1.2023 -2.2941
CELL_PARAMETERS angstrom
-0.1437 6.9043 -2.2039
-1.2988 -2.1930 -6.7861
-5.7631 2.5397 -3.5895
! Energy of formation: -153 meV per atom
! Space group: Fm-3m (225)
! Magnetization: 0.0 μB/f.u.


[2]
! K2AgSnCl6 | the Alexandria database | PBE | relaxed; values from VASP
&SYSTEM
  ibrav = 0, nat = 10, ntyp = 4
/
ATOMIC_SPECIES
Cl 35.45 Cl.upf
K 39.10 K.upf
Sn 118.71 Sn.upf
Ag 107.87 Ag.upf
ATOMIC_POSITIONS angstrom
Cl 7.9460 2.1425 4.7866
K 7.4411 4.2961 2.1556
Cl 9.0548 5.8094 4.7868
Cl 10.6421 4.3516 1.7456
Sn 11.1616 6.4440 3.3082
Cl 5.3243 4.9348 4.7847
Cl 5.7927 7.0406 1.7448
Ag 3.7205 2.1480 0.2839
Cl 5.8866 1.4967 1.7467
K 3.7208 2.1479 5.1513
CELL_PARAMETERS angstrom
7.4405 0.0011 0.0010
3.7212 6.4429 0.0003
3.7205 2.1479 6.0792
! Space group: R3 (146)
! Magnetization: 0.0 μB/f.u.
! Formation energy without anion corrections: -1.265 eV per atom


[3]
! Li5Al2O6 | the Alexandria database | PBE | relaxed; values from VASP
&SYSTEM
  ibrav = 0, nat = 26, ntyp = 3
/
ATOMIC_SPECIES
O 16.00 O.upf
Li 6.94 Li.upf
Al 26.98 Al.upf
ATOMIC_POSITIONS angstrom
O 4.1493 3.4147 4.0391
Li 3.8777 1.4842 6.8739
Li 2.9694 2.4831 8.8308
Al 4.8543 4.0739 5.5071
Al 0.8723 1.4152 0.9665
Li 1.5066 0.2188 3.5151
O 1.7513 1.8137 2.4345
Li 3.5438 1.2613 10.7876
Al 5.5762 2.8901 11.1011
O 4.6972 2.4916 9.6331
O 2.6979 0.8500 5.2173
Li 3.4791 1.8222 3.2368
O 4.6765 2.1710 1.2563
Li 4.9419 4.0865 8.5525
Li 0.7324 1.2760 9.1090
O 4.5559 -0.3338 10.5897
Li 5.7161 3.0294 2.9585
O 3.7506 3.4553 6.8503
O 4.9630 -0.0621 7.0719
Li 2.9046 3.0441 1.2799
O 1.7720 2.1343 10.8113
O 2.2992 0.8906 8.0284
O 1.4855 4.3674 4.9957
Al 1.5942 0.2315 6.5605
Li 2.5708 2.8212 5.1937
O 1.8926 4.6392 1.4779
CELL_PARAMETERS angstrom
5.0933 -0.5443 0.4398
1.4499 4.9128 0.4398
-0.0946 -0.0632 11.1880
! Space group: C2/c (15)
! Magnetization: 1.0 μB/f.u.
! Formation energy without anion corrections: -2.156 eV per atom


[4]
! AlSbH2Ir | the Alexandria database | PBE | relaxed; values from VASP
&SYSTEM
  ibrav = 0, nat = 5, ntyp = 4
/
ATOMIC_SPECIES
Sb 121.76 Sb.upf
Al 26.98 Al.upf
H 1.01 H.upf
Ir 192.22 Ir.upf
ATOMIC_POSITIONS angstrom
Sb 0.0000 0.0000 0.0000
Al 0.0000 2.9452 0.0000
H 1.8120 0.0000 0.0000
Ir 1.8120 2.9452 1.8120
H 0.0000 0.0000 1.8120
CELL_PARAMETERS angstrom
3.6240 0.0000 0.0000
0.0000 5.8903 0.0000
0.0000 0.0000 3.6240
! Space group: P4/mmm (123)
! Calculated total energy: -4.075 eV per atom
! Magnetization: 0.0 μB/f.u.


[5]
! Sm6CN4 | the Alexandria database | PBE | relaxed; values from VASP
&SYSTEM
  ibrav = 0, nat = 22, ntyp = 3
/
ATOMIC_SPECIES
Sm 150.36 Sm.upf
N 14.01 N.upf
C 12.01 C.upf
ATOMIC_POSITIONS angstrom
Sm 0.1515 7.0723 2.4308
Sm 6.0611 4.0078 4.0154
N 5.5074 5.4617 1.9902
N 1.8052 4.4143 0.8258
C 0.0000 0.0000 0.0000
N 1.9412 1.9251 5.5865
Sm 3.9541 1.3593 4.1203
Sm 2.3950 7.2942 7.1486
Sm 1.3875 3.3789 3.5613
Sm 7.2971 0.3145 5.1458
Sm 4.0367 3.4441 1.4535
Sm 3.4944 6.0275 3.4563
Sm 7.1146 5.0526 7.3496
N 6.6808 1.7683 3.0586
N 0.7677 5.6184 4.5181
N 2.9786 0.7209 1.8942
Sm 0.3339 2.3341 0.2271
N 4.4700 6.6658 5.6825
Sm 3.4119 3.9427 6.1232
C 3.7243 3.6934 3.7883
N 5.6434 2.9725 6.7509
Sm 5.0536 0.0926 0.4280
CELL_PARAMETERS angstrom
7.3857 -0.1567 0.0960
-0.0952 7.3868 0.0960
0.1581 0.1567 7.3846
! Space group: R-3c (167)
! Magnetization: 0.0 μB/f.u.
! Formation energy without anion corrections: -0.564 eV per atom


[6]
! PmLuSc2 | the Alexandria database | PBE | relaxed; values from VASP
&SYSTEM
  ibrav = 0, nat = 4, ntyp = 3
/
ATOMIC_SPECIES
Pm 145.00 Pm.upf
Sc 44.96 Sc.upf
Lu 174.97 Lu.upf
ATOMIC_POSITIONS angstrom
Pm 2.3473 2.4414 2.4414
Sc 0.0000 0.0000 2.4414
Lu 2.3473 0.0000 0.0000
Sc 0.0000 2.4414 0.0000
CELL_PARAMETERS angstrom
4.6946 0.0000 0.0000
0.0000 4.8828 0.0000
0.0000 0.0000 4.8828
! Energy of formation: 57 meV per atom
! Space group: P4/mmm (123)
! Magnetization: 0.0 μB/f.u.